Record 1
# PBE AgB2C, relaxed
# Formation energy from the elements   2.56 eV/atom
# Density   5.64 g cm⁻³
data_AgB2C
_chemical_formula_sum 'Ag4 B8 C4'
_space_group_name_H-M_alt 'F m -3 m'
_space_group_IT_number 225
_space_group_name_Hall '-F 4 2 3'
_cell_length_a 5.5021
_cell_length_b 5.5021
_cell_length_c 5.5021
_cell_angle_alpha 90.00
_cell_angle_beta 90.00
_cell_angle_gamma 90.00
loop_
_atom_site_label
_atom_site_type_symbol
_atom_site_fract_x
_atom_site_fract_y
_atom_site_fract_z
Ag1 Ag 0.0000 0.0000 0.0000
B1 B 0.2500 0.2500 0.2500
C1 C 0.0000 0.0000 0.5000

Record 2
# PBE AgBC, relaxed
# Formation energy from the elements   0.56 eV/atom
# Density   5.44 g cm⁻³
data_AgBC
_chemical_formula_sum 'Ag4 B4 C4'
_space_group_name_H-M_alt 'C 1 2/m 1'
_space_group_IT_number 12
_space_group_name_Hall '-C 2y'
_cell_length_a 14.6534
_cell_length_b 2.9804
_cell_length_c 3.7826
_cell_angle_alpha 90.00
_cell_angle_beta 104.82
_cell_angle_gamma 90.00
loop_
_atom_site_label
_atom_site_type_symbol
_atom_site_fract_x
_atom_site_fract_y
_atom_site_fract_z
Ag1 Ag 0.1895 0.0000 0.1887
B1 B 0.0653 0.5000 0.0647
C1 C 0.9999 0.5000 0.3232

Record 3
# PBE AgBC, relaxed
# Formation energy from the elements   0.58 eV/atom
# Density   4.42 g cm⁻³
data_AgBC
_chemical_formula_sum 'Ag4 B4 C4'
_space_group_name_H-M_alt 'C 1 2/m 1'
_space_group_IT_number 12
_space_group_name_Hall '-C 2y'
_cell_length_a 5.1464
_cell_length_b 7.2268
_cell_length_c 5.5941
_cell_angle_alpha 90.00
_cell_angle_beta 109.10
_cell_angle_gamma 90.00
loop_
_atom_site_label
_atom_site_type_symbol
_atom_site_fract_x
_atom_site_fract_y
_atom_site_fract_z
Ag1 Ag 0.0000 0.1884 0.0000
B1 B 0.0857 0.5000 0.8945
C1 C 0.0205 0.5000 0.6171

Record 4
# PBE AgBC, relaxed
# Formation energy from the elements   0.82 eV/atom
# Density   5.58 g cm⁻³
data_AgBC
_chemical_formula_sum 'Ag4 B4 C4'
_space_group_name_H-M_alt 'C 1 m 1'
_space_group_IT_number 8
_space_group_name_Hall 'C -2y'
_cell_length_a 10.7768
_cell_length_b 3.2633
_cell_length_c 4.4375
_cell_angle_alpha 90.00
_cell_angle_beta 94.32
_cell_angle_gamma 90.00
loop_
_atom_site_label
_atom_site_type_symbol
_atom_site_fract_x
_atom_site_fract_y
_atom_site_fract_z
Ag1 Ag 0.0000 0.0000 0.0000
Ag2 Ag 0.0690 0.5000 0.5194
B1 B 0.3111 0.0000 0.1278
B2 B 0.3659 0.0000 0.7916
C1 C 0.1911 0.0000 0.3048
C2 C 0.3043 0.0000 0.4713

| no. | energy (eV per atom) | energy relative to the lowest polymorph listed for this composition (kJ per mole of atoms) | total moment (μB/atom) |
| --- | --- | --- | --- |
| 1 | -3.798 | 179.3 | 0.0000 |
| 2 | -5.687 | 16.9 | 0.0000 |
| 3 | -5.667 | 18.7 | 0.0000 |
| 4 | -5.434 | 41.2 | 0.0000 |